This record from Alexandria via LeMat-Bulk describes a relaxed structure of TaTiB4. The functional is PBEsol.

Properties
- DFT formation energy: -5.76 eV per formula unit
- Fermi-level density of states: 1.1 states/eV per cell
- Symmetry: P6/mmm (191)
- Crystal system: hexagonal

a b c (Å): 3.0569 3.0569 6.4567
angles (deg): 90.00 90.00 120.00
Sites, in units of the cell vectors:
Ta 0.0000 0.0000 0.0000
Ti 0.0000 0.0000 0.5000
B 0.3333 0.6667 0.2573
B 0.3333 0.6667 0.7427
B 0.6667 0.3333 0.2573
B 0.6667 0.3333 0.7427